Here is a geometry-optimized CuRh3 structure from Alexandria via LeMat-Bulk. Energies are from PBE.

Summary:
Its space-group type is Pmmn. As for the density of states at the Fermi level: 12.64 states/eV per cell. The calculated total energy comes out at -6.46 eV per atom.

Cell and atoms, written as POSCAR:
```
CuRh3
1.0
4.397 0.000 0.000
0.000 5.404 0.000
0.000 0.000 4.651
Cu Rh
2 6
Cartesian
1.099 1.351 0.783
3.298 4.053 3.868
1.099 2.723 3.091
1.099 4.053 0.733
1.099 5.383 3.091
3.298 0.021 1.559
3.298 1.351 3.918
3.298 2.681 1.559
```

---

Here is a geometry-optimized In2TeAs structure from Alexandria via LeMat-Bulk. Energies are from PBE.

Summary:
Its space-group type is Fm-3m. As for the density of states at the Fermi level: 3.10 states/eV per cell. Its energy above the most stable polymorph in this dataset is 0.2871 eV per atom. The uncorrected formation energy comes out at 122 meV/atom.

Cell and atoms, written as POSCAR:
```
In2TeAs
1.0
0.000 3.732 3.732
3.732 0.000 3.732
3.732 3.732 0.000
In Te As
2 1 1
Cartesian
1.866 1.866 1.866
5.598 5.598 5.598
0.000 0.000 0.000
3.732 3.732 3.732
```

---

Here is a geometry-optimized UP2Pd2Pt structure from Alexandria via LeMat-Bulk. Energies are from PBE.

Summary:
Its space-group type is Pmc2_1. As for the density of states at the Fermi level: 12.19 states/eV per cell. The calculated total energy comes out at -7.00 eV per atom.

Cell and atoms, written as POSCAR:
```
UP2Pd2Pt
1.0
4.143 0.000 0.000
0.000 7.833 0.000
0.000 0.000 6.155
U P Pd Pt
2 4 4 2
Cartesian
0.000 0.349 0.000
0.000 7.484 3.077
0.000 2.653 4.765
0.000 5.180 1.687
2.071 1.146 1.718
2.071 6.687 4.796
0.000 2.959 2.303
0.000 4.874 5.381
2.071 3.062 0.305
2.071 4.771 3.382
2.071 1.819 3.984
2.071 6.014 0.906
```

---

Here is a geometry-optimized Ca2InRh structure from Alexandria via LeMat-Bulk. Energies are from PBE.

Summary:
Its space-group type is Imm2. As for the density of states at the Fermi level: 3.00 states/eV per cell. The calculated total energy comes out at -3.89 eV per atom.

Cell and atoms, written as POSCAR:
```
Ca2InRh
1.0
-2.159 4.231 3.014
2.159 -4.231 3.014
2.159 4.231 -3.014
Ca In Rh
2 1 1
Cartesian
0.000 1.725 0.000
0.000 6.737 0.000
0.000 0.000 2.961
2.159 0.000 1.356
```

---

Here is a geometry-optimized LaNd8Y2 structure from Alexandria via LeMat-Bulk. Energies are from PBE.

Summary:
Its space-group type is Immm. As for the density of states at the Fermi level: 16.98 states/eV per cell. Its energy above the most stable polymorph in this dataset is 0.0000 eV per atom.

Cell and atoms, written as POSCAR:
```
LaNd8Y2
1.0
-2.870 4.183 8.097
2.870 -4.183 8.097
2.870 4.183 -8.097
La Nd Y
1 8 2
Cartesian
0.000 0.000 0.000
2.870 -1.703 5.861
2.870 0.000 2.648
2.870 2.458 0.000
0.000 2.479 2.237
2.870 1.703 5.861
0.000 1.724 8.097
0.000 4.183 5.449
0.000 5.886 2.237
0.000 0.000 4.857
0.000 0.000 11.337
```

---

Here is a geometry-optimized KNaNi3 structure from Alexandria via LeMat-Bulk. Energies are from PBE.

Summary:
Its space-group type is Pm-3m. As for the density of states at the Fermi level: 3.33 states/eV per cell. Its energy above the most stable polymorph in this dataset is 0.3881 eV per atom.

Cell and atoms, written as POSCAR:
```
KNaNi3
1.0
4.815 0.000 0.000
0.000 4.815 0.000
0.000 0.000 4.815
K Na Ni
1 1 3
Cartesian
0.000 0.000 0.000
2.407 2.407 2.407
0.000 0.000 2.407
0.000 2.407 0.000
2.407 0.000 0.000
```

---

Here is a geometry-optimized Li5Ca2Cd12 structure from Alexandria via LeMat-Bulk. Energies are from PBE.

Summary:
Its space-group type is R-3m. As for the density of states at the Fermi level: 7.34 states/eV per cell. The calculated total energy comes out at -1.53 eV per atom.

Cell and atoms, written as POSCAR:
```
Li5Ca2Cd12
1.0
4.981 2.876 4.856
-4.981 2.876 4.856
0.000 -5.751 4.856
Li Ca Cd
5 2 12
Cartesian
-4.981 0.000 7.283
-2.490 1.438 2.428
0.000 0.000 1.401
2.490 1.438 2.428
0.000 0.000 13.166
0.000 0.000 5.008
0.000 0.000 9.559
-1.471 -3.204 4.856
-3.510 0.328 4.856
-2.570 -1.484 7.032
1.471 -3.204 4.856
-2.039 2.876 4.856
0.000 -2.968 7.535
-2.570 1.484 7.535
2.570 -1.484 7.032
0.000 2.968 7.032
3.510 0.328 4.856
2.039 2.876 4.856
2.570 1.484 7.535
```

---

Here is a geometry-optimized Ba6AgPt2Au structure from Alexandria via LeMat-Bulk. Energies are from PBE.

Summary:
Its space-group type is P1. As for the density of states at the Fermi level: 5.23 states/eV per cell. The calculated total energy comes out at -3.51 eV per atom.

Cell and atoms, written as POSCAR:
```
Ba6AgPt2Au
1.0
8.184 0.000 0.000
4.090 7.096 0.000
4.091 2.363 7.444
Ba Ag Pt Au
6 1 2 1
Cartesian
0.000 0.000 0.000
5.089 4.796 3.693
3.554 2.560 0.002
9.572 7.306 3.695
12.174 7.661 7.444
9.250 2.846 3.693
10.700 4.982 5.981
6.606 2.618 5.460
10.699 4.984 1.788
6.604 7.350 2.191
```

---

Here is a geometry-optimized PrZnIn structure from Alexandria via LeMat-Bulk. Energies are from PBE.

Summary:
Its space-group type is Cmcm. As for the density of states at the Fermi level: 3.45 states/eV per cell. The calculated total energy comes out at -3.02 eV per atom.

Cell and atoms, written as POSCAR:
```
PrZnIn
1.0
1.644 -8.450 0.000
1.644 8.450 0.000
0.000 0.000 5.688
Pr Zn In
2 2 2
Cartesian
1.644 5.424 4.266
1.644 -5.424 1.422
1.644 2.271 4.266
1.644 -2.271 1.422
0.000 0.000 0.000
0.000 0.000 2.844
```

---

Here is a geometry-optimized TiV2H structure from Alexandria via LeMat-Bulk. Energies are from PBE.

Summary:
Its space-group type is R-3m. As for the density of states at the Fermi level: 3.66 states/eV per cell. Its energy above the most stable polymorph in this dataset is 0.3149 eV per atom.

Cell and atoms, written as POSCAR:
```
TiV2H
1.0
1.339 0.773 7.545
-1.339 0.773 7.545
0.000 -1.546 7.545
Ti V H
1 2 1
Cartesian
0.000 0.000 0.000
0.000 0.000 2.559
0.000 0.000 20.075
0.000 0.000 11.317
```

---

Here is a geometry-optimized KOsRh2N structure from Alexandria via LeMat-Bulk. Energies are from PBE.

Summary:
Its space-group type is P4/mmm. As for the density of states at the Fermi level: 5.84 states/eV per cell. The uncorrected formation energy comes out at 785 meV/atom.

Cell and atoms, written as POSCAR:
```
KOsRh2N
1.0
4.420 0.000 0.000
0.000 4.420 0.000
0.000 0.000 3.939
K Os Rh N
1 1 2 1
Cartesian
0.000 0.000 0.000
2.210 2.210 0.000
0.000 2.210 1.969
2.210 0.000 1.969
2.210 2.210 1.969
```

---

Here is a geometry-optimized Li5Se2Cl structure from Alexandria via LeMat-Bulk. Energies are from PBE.

Summary:
Its space-group type is P2_1/c. As for the density of states at the Fermi level: 0.00 states/eV per cell. The uncorrected formation energy comes out at -1359 meV/atom.

Cell and atoms, written as POSCAR:
```
Li5Se2Cl
1.0
10.488 0.000 0.000
0.000 8.148 0.000
-2.078 0.000 7.060
Li Se Cl
20 8 4
Cartesian
-0.275 1.217 1.257
-1.314 2.857 4.787
1.073 0.993 4.510
2.112 3.082 0.979
1.167 5.023 4.608
2.206 7.200 1.078
4.145 1.020 0.270
3.106 3.054 3.800
4.337 5.146 0.364
3.298 7.076 3.894
5.112 1.072 3.166
4.073 3.002 6.696
5.304 5.094 3.260
4.265 7.128 6.790
6.204 0.948 5.982
7.243 3.126 2.452
6.298 5.067 6.081
7.337 7.156 2.551
9.724 5.291 2.274
8.685 6.931 5.804
-0.411 1.016 6.584
0.628 3.058 3.054
3.658 0.989 5.272
4.697 3.085 1.742
3.713 5.064 5.318
4.753 7.159 1.788
7.782 5.090 4.006
8.821 7.132 0.476
-0.040 5.197 6.739
0.999 7.025 3.209
7.411 1.123 3.851
8.450 2.951 0.321
```

---

Here is a geometry-optimized ZrMoRh4 structure from Alexandria via LeMat-Bulk. Energies are from PBE.

Summary:
Its space-group type is F-43m. As for the density of states at the Fermi level: 9.41 states/eV per cell. The calculated total energy comes out at -8.28 eV per atom.

Cell and atoms, written as POSCAR:
```
ZrMoRh4
1.0
0.000 3.636 3.636
3.636 0.000 3.636
3.636 3.636 0.000
Zr Mo Rh
1 1 4
Cartesian
0.000 0.000 0.000
1.818 1.818 1.818
4.543 2.728 2.728
2.728 4.543 2.728
2.728 2.728 4.543
4.543 4.543 4.543
```

---

Here is a geometry-optimized LiHf3Mn structure from Alexandria via LeMat-Bulk. Energies are from PBE.

Summary:
Its space-group type is Pm-3m. As for the density of states at the Fermi level: 8.22 states/eV per cell. Its energy above the most stable polymorph in this dataset is 0.7688 eV per atom.

Cell and atoms, written as POSCAR:
```
LiHf3Mn
1.0
4.546 0.000 0.000
0.000 4.546 0.000
0.000 0.000 4.546
Li Hf Mn
1 3 1
Cartesian
0.000 0.000 0.000
0.000 0.000 2.273
0.000 2.273 0.000
2.273 0.000 0.000
2.273 2.273 2.273
```

---

Here is a geometry-optimized CaLaDyEr structure from Alexandria via LeMat-Bulk. Energies are from PBE.

Summary:
Its space-group type is F-43m. As for the density of states at the Fermi level: 6.83 states/eV per cell. The calculated total energy comes out at -3.89 eV per atom.

Cell and atoms, written as POSCAR:
```
CaLaDyEr
1.0
0.000 4.115 4.115
4.115 0.000 4.115
4.115 4.115 0.000
Ca La Dy Er
1 1 1 1
Cartesian
0.000 0.000 0.000
6.172 6.172 6.172
2.057 2.057 2.057
4.115 4.115 4.115
```

---

Here is a geometry-optimized NbVSn structure from Alexandria via LeMat-Bulk. Energies are from PBE.

Summary:
Its space-group type is P3m1. As for the density of states at the Fermi level: 1.65 states/eV per cell. The calculated total energy comes out at -7.68 eV per atom.

Cell and atoms, written as POSCAR:
```
NbVSn
1.0
4.583 0.000 0.000
-2.292 3.969 0.000
0.000 0.000 2.937
Nb V Sn
1 1 1
Cartesian
0.000 0.000 0.000
0.000 2.646 2.178
2.292 1.323 1.237
```

---

Here is a geometry-optimized Hf2AlNiHg structure from Alexandria via LeMat-Bulk. Energies are from PBE.

Summary:
Its space-group type is P4/mmm. As for the density of states at the Fermi level: 4.31 states/eV per cell. The calculated total energy comes out at -5.91 eV per atom.

Cell and atoms, written as POSCAR:
```
Hf2AlNiHg
1.0
4.811 0.000 0.000
0.000 4.811 0.000
0.000 0.000 4.450
Hf Al Ni Hg
2 1 1 1
Cartesian
0.000 2.406 0.000
2.406 0.000 0.000
0.000 0.000 2.225
0.000 0.000 0.000
2.406 2.406 2.225
```

---

Here is a geometry-optimized Zr2SiAs structure from Alexandria via LeMat-Bulk. Energies are from PBE.

Summary:
Its space-group type is C2/m. As for the density of states at the Fermi level: 2.13 states/eV per cell. Its energy above the most stable polymorph in this dataset is 0.2337 eV per atom. The uncorrected formation energy comes out at -680 meV/atom.

Cell and atoms, written as POSCAR:
```
Zr2SiAs
1.0
3.255 -3.725 0.000
3.255 3.725 0.000
-0.846 0.000 3.157
Zr Si As
2 1 1
Cartesian
1.628 1.863 0.000
1.628 -1.863 0.000
-0.423 0.000 1.578
2.833 0.000 1.578
```

---

Here is a geometry-optimized In2OsCl structure from Alexandria via LeMat-Bulk. Energies are from PBE.

Summary:
Its space-group type is Pmmm. As for the density of states at the Fermi level: 2.22 states/eV per cell. Its energy above the most stable polymorph in this dataset is 0.2265 eV per atom. The uncorrected formation energy comes out at 250 meV/atom.

Cell and atoms, written as POSCAR:
```
In2OsCl
1.0
3.001 0.000 0.000
0.000 4.917 0.000
0.000 0.000 5.630
In Os Cl
2 1 1
Cartesian
0.000 0.000 0.000
1.500 2.459 2.815
0.000 0.000 2.815
1.500 2.459 0.000
```

---

Here is a geometry-optimized UTl2I8 structure from Alexandria via LeMat-Bulk. Energies are from PBE.

Summary:
Its space-group type is C2/m. As for the density of states at the Fermi level: 5.08 states/eV per cell. The uncorrected formation energy comes out at -581 meV/atom.

Cell and atoms, written as POSCAR:
```
UTl2I8
1.0
7.292 -3.883 0.000
7.292 3.883 0.000
-0.233 0.000 9.457
U Tl I
1 2 8
Cartesian
0.000 0.000 0.000
1.917 0.000 4.891
12.434 0.000 4.567
2.495 0.000 8.472
6.370 1.907 7.491
7.982 1.907 1.966
4.906 0.000 4.108
9.445 0.000 5.349
6.370 -1.907 7.491
7.982 -1.907 1.966
11.856 0.000 0.985
```